[1]
Compound: SrCu2W
Source: the Alexandria database
Functional: GGA-PBE
Structure: relaxed

Lattice parameters (Å, degrees): 4.822 4.822 17.387 90.00 90.00 90.00
Element x y z (fractional)
Sr: 0.000 0.250 0.375
Sr: 0.000 0.750 0.625
Sr: 0.500 0.250 0.125
Sr: 0.500 0.750 0.875
Cu: 0.000 0.000 0.000
Cu: 0.000 0.500 0.000
Cu: 0.250 0.250 0.750
Cu: 0.250 0.750 0.250
Cu: 0.500 0.000 0.500
Cu: 0.500 0.500 0.500
Cu: 0.750 0.250 0.750
Cu: 0.750 0.750 0.250
W: 0.000 0.250 0.875
W: 0.000 0.750 0.125
W: 0.500 0.250 0.625
W: 0.500 0.750 0.375

Properties
The calculation puts the size of the total moment at 0.71 μB/atom. As for the space group: I4_1/amd. Its energy above the lowest structure with this stoichiometry is 377 meV per atom. For the total energy, the calculation gives -74.70 eV per cell. The value obtained for the density of states at the Fermi level is 10.44 states/eV/cell.

[2]
Compound: Hf3Sc4O12
Source: the Alexandria database
Functional: GGA-PBE
Structure: relaxed

Lattice parameters (Å, degrees): 6.190 6.196 12.290 99.38 99.30 99.67
Element x y z (fractional)
Hf: 0.004 0.005 0.249
Hf: 0.142 0.319 0.555
Hf: 0.389 0.860 0.094
Hf: 0.611 0.140 0.906
Hf: 0.858 0.681 0.445
Hf: 0.996 0.995 0.751
Sc: 0.142 0.322 0.054
Sc: 0.313 0.608 0.820
Sc: 0.322 0.605 0.318
Sc: 0.394 0.864 0.594
Sc: 0.606 0.136 0.406
Sc: 0.678 0.395 0.682
Sc: 0.687 0.392 0.180
Sc: 0.858 0.678 0.946
O: 0.054 0.905 0.588
O: 0.061 0.903 0.090
O: 0.094 0.315 0.717
O: 0.099 0.323 0.222
O: 0.175 0.573 0.460
O: 0.183 0.586 0.963
O: 0.317 0.945 0.800
O: 0.326 0.938 0.289
O: 0.414 0.578 0.658
O: 0.415 0.179 0.537
O: 0.418 0.174 0.036
O: 0.430 0.582 0.159
O: 0.570 0.418 0.841
O: 0.582 0.826 0.964
O: 0.585 0.821 0.463
O: 0.586 0.422 0.342
O: 0.674 0.062 0.711
O: 0.683 0.055 0.200
O: 0.817 0.414 0.037
O: 0.825 0.427 0.540
O: 0.901 0.677 0.778
O: 0.906 0.685 0.283
O: 0.939 0.097 0.910
O: 0.946 0.095 0.412

Properties
The calculation puts the size of the total moment at 0.00 μB/atom. As for the space group: P-1. The uncorrected formation energy is -3.54 eV per atom. For the total energy, the calculation gives -363.78 eV per cell. The value obtained for the density of states at the Fermi level is 0.00 states/eV/cell.

[3]
Compound: La2DyIn2Ag2
Source: the Alexandria database
Functional: GGA-PBE
Structure: relaxed

Lattice parameters (Å, degrees): 9.537 9.537 9.537 29.65 29.65 29.65
Element x y z (fractional)
La: 0.128 0.128 0.128
La: 0.872 0.872 0.872
Dy: 0.000 0.000 0.000
In: 0.267 0.267 0.267
In: 0.733 0.733 0.733
Ag: 0.390 0.390 0.390
Ag: 0.610 0.610 0.610

Properties
The calculation puts the size of the total moment at 0.00 μB/atom. As for the space group: R-3m. For the total energy, the calculation gives -27.92 eV per cell. The value obtained for the density of states at the Fermi level is 5.68 states/eV/cell.

[4]
Compound: NdPaNi3
Source: the Alexandria database
Functional: GGA-PBE
Structure: relaxed

Lattice parameters (Å, degrees): 5.352 6.386 5.422 90.00 99.92 90.00
Element x y z (fractional)
Nd: 0.229 0.250 0.152
Nd: 0.771 0.750 0.848
Pa: 0.176 0.750 0.417
Pa: 0.824 0.250 0.583
Ni: 0.293 0.750 0.984
Ni: 0.343 0.057 0.689
Ni: 0.343 0.443 0.689
Ni: 0.657 0.557 0.311
Ni: 0.657 0.943 0.311
Ni: 0.707 0.250 0.016

Properties
The calculation puts the size of the total moment at 0.00 μB/atom. As for the space group: P2_1/m. Its energy above the lowest structure with this stoichiometry is 59 meV per atom. For the total energy, the calculation gives -66.07 eV per cell. The value obtained for the density of states at the Fermi level is 7.36 states/eV/cell.